No. 1
! CaSiAsBr2, optimized geometry, DFT PBE-GGA; values from VASP
! ΔE to the lowest computed polymorph (meV/atom): 451.7
! Uncorrected energy (eV per atom): -3.013
! Total magnetization (Bohr magnetons per cell): 1.00
! E_form (uncorrected) (eV/atom): 0.07
&SYSTEM
  ibrav = 0, nat = 5, ntyp = 4
/
ATOMIC_SPECIES
Ca 40.08 Ca.upf
Si 28.09 Si.upf
As 74.92 As.upf
Br 79.90 Br.upf
CELL_PARAMETERS angstrom
5.3558 0.0000 0.0000
0.0000 5.3558 0.0000
0.0000 0.0000 6.0640
ATOMIC_POSITIONS angstrom
Ca 0.0000 0.0000 0.0000
Si 2.6779 2.6779 3.0320
As 0.0000 0.0000 3.0320
Br 0.0000 2.6779 0.0000
Br 2.6779 0.0000 0.0000

=====

No. 2
! CaSnAsBr2, optimized geometry, DFT PBE-GGA; values from VASP
! ΔE to the lowest computed polymorph (meV/atom): 0.0
! Uncorrected energy (eV per atom): -3.228
! Total magnetization (Bohr magnetons per cell): 0.00
! E_form (uncorrected) (eV/atom): -0.43
&SYSTEM
  ibrav = 0, nat = 5, ntyp = 4
/
ATOMIC_SPECIES
Ca 40.08 Ca.upf
Sn 118.71 Sn.upf
As 74.92 As.upf
Br 79.90 Br.upf
CELL_PARAMETERS angstrom
5.5490 0.0000 0.0000
0.0000 5.5490 0.0000
0.0000 0.0000 5.3872
ATOMIC_POSITIONS angstrom
Ca 0.0000 0.0000 0.0000
Sn 2.7745 2.7745 2.6936
As 2.7745 2.7745 0.0000
Br 0.0000 2.7745 2.6936
Br 2.7745 0.0000 2.6936

=====

No. 3
! CaSnAs2Br, optimized geometry, DFT PBE-GGA; values from VASP
! ΔE to the lowest computed polymorph (meV/atom): 0.0
! Uncorrected energy (eV per atom): -3.491
! Total magnetization (Bohr magnetons per cell): 0.00
! E_form (uncorrected) (eV/atom): -0.10
&SYSTEM
  ibrav = 0, nat = 5, ntyp = 4
/
ATOMIC_SPECIES
Ca 40.08 Ca.upf
Sn 118.71 Sn.upf
As 74.92 As.upf
Br 79.90 Br.upf
CELL_PARAMETERS angstrom
5.2248 0.0000 0.0000
0.0000 5.2248 0.0000
0.0000 0.0000 5.6817
ATOMIC_POSITIONS angstrom
Ca 0.0000 0.0000 0.0000
Sn 2.6124 2.6124 2.8408
As 0.0000 2.6124 2.8408
As 2.6124 0.0000 2.8408
Br 2.6124 2.6124 0.0000

=====

No. 4
! CaSnAs2Br, optimized geometry, DFT PBE-GGA; values from VASP
! ΔE to the lowest computed polymorph (meV/atom): 283.8
! Uncorrected energy (eV per atom): -3.207
! Total magnetization (Bohr magnetons per cell): 0.81
! E_form (uncorrected) (eV/atom): 0.19
&SYSTEM
  ibrav = 0, nat = 5, ntyp = 4
/
ATOMIC_SPECIES
Ca 40.08 Ca.upf
Sn 118.71 Sn.upf
As 74.92 As.upf
Br 79.90 Br.upf
CELL_PARAMETERS angstrom
5.4817 0.0000 0.0000
0.0000 5.4817 0.0000
0.0000 0.0000 5.3854
ATOMIC_POSITIONS angstrom
Ca 0.0000 0.0000 0.0000
Sn 2.7408 2.7408 2.6927
As 0.0000 2.7408 0.0000
As 2.7408 0.0000 0.0000
Br 0.0000 0.0000 2.6927

=====

No. 5
! CaSnAsBr2, optimized geometry, DFT PBE-GGA; values from VASP
! ΔE to the lowest computed polymorph (meV/atom): 2.5
! Uncorrected energy (eV per atom): -3.225
! Total magnetization (Bohr magnetons per cell): 0.85
! E_form (uncorrected) (eV/atom): -0.43
&SYSTEM
  ibrav = 0, nat = 5, ntyp = 4
/
ATOMIC_SPECIES
Ca 40.08 Ca.upf
Sn 118.71 Sn.upf
As 74.92 As.upf
Br 79.90 Br.upf
CELL_PARAMETERS angstrom
5.3565 0.0000 0.0000
0.0000 5.3565 0.0000
0.0000 0.0000 6.0016
ATOMIC_POSITIONS angstrom
Ca 0.0000 0.0000 0.0000
Sn 2.6783 2.6783 3.0008
As 0.0000 0.0000 3.0008
Br 0.0000 2.6783 0.0000
Br 2.6783 0.0000 0.0000

=====

No. 6
! SrCaAs2Br, optimized geometry, DFT PBE-GGA; values from VASP
! ΔE to the lowest computed polymorph (meV/atom): 0.0
! Uncorrected energy (eV per atom): -3.488
! Total magnetization (Bohr magnetons per cell): 0.68
! E_form (uncorrected) (eV/atom): -0.56
&SYSTEM
  ibrav = 0, nat = 5, ntyp = 4
/
ATOMIC_SPECIES
Sr 87.62 Sr.upf
Ca 40.08 Ca.upf
As 74.92 As.upf
Br 79.90 Br.upf
CELL_PARAMETERS angstrom
5.4162 0.0000 0.0000
0.0000 5.4162 0.0000
0.0000 0.0000 5.5918
ATOMIC_POSITIONS angstrom
Sr 0.0000 0.0000 0.0000
Ca 2.7081 2.7081 2.7959
As 0.0000 2.7081 2.7959
As 2.7081 0.0000 2.7959
Br 2.7081 2.7081 0.0000

=====

No. 7
! SrCaAs2Br, optimized geometry, DFT PBE-GGA; values from VASP
! ΔE to the lowest computed polymorph (meV/atom): 321.7
! Uncorrected energy (eV per atom): -3.167
! Total magnetization (Bohr magnetons per cell): 0.44
! E_form (uncorrected) (eV/atom): -0.24
&SYSTEM
  ibrav = 0, nat = 5, ntyp = 4
/
ATOMIC_SPECIES
Sr 87.62 Sr.upf
Ca 40.08 Ca.upf
As 74.92 As.upf
Br 79.90 Br.upf
CELL_PARAMETERS angstrom
5.6251 0.0000 0.0000
0.0000 5.6251 0.0000
0.0000 0.0000 5.7308
ATOMIC_POSITIONS angstrom
Sr 0.0000 0.0000 0.0000
Ca 2.8125 2.8125 2.8654
As 0.0000 2.8125 0.0000
As 2.8125 0.0000 0.0000
Br 0.0000 0.0000 2.8654

=====

No. 8
! SrCaAsBr, optimized geometry, DFT PBE-GGA; values from VASP
! Uncorrected energy (eV per atom): -4.063
! Total magnetization (Bohr magnetons per cell): 0.00
! E_form (uncorrected) (eV/atom): -1.56
&SYSTEM
  ibrav = 0, nat = 4, ntyp = 4
/
ATOMIC_SPECIES
Sr 87.62 Sr.upf
Ca 40.08 Ca.upf
As 74.92 As.upf
Br 79.90 Br.upf
CELL_PARAMETERS angstrom
2.2269 1.2857 7.3112
-2.2269 1.2857 7.3112
0.0000 -2.5714 7.3112
ATOMIC_POSITIONS angstrom
Sr 0.0000 0.0000 0.0000
Ca 0.0000 0.0000 11.5649
As 0.0000 0.0000 5.6511
Br 0.0000 0.0000 16.7666

=====

No. 9
! CaTaAs2Br, optimized geometry, DFT PBE-GGA; values from VASP
! ΔE to the lowest computed polymorph (meV/atom): 0.0
! Uncorrected energy (eV per atom): -5.352
! Total magnetization (Bohr magnetons per cell): 0.00
! E_form (uncorrected) (eV/atom): -0.39
&SYSTEM
  ibrav = 0, nat = 5, ntyp = 4
/
ATOMIC_SPECIES
Ca 40.08 Ca.upf
Ta 180.95 Ta.upf
As 74.92 As.upf
Br 79.90 Br.upf
CELL_PARAMETERS angstrom
5.0379 0.0000 0.0000
0.0000 5.0379 0.0000
0.0000 0.0000 5.2072
ATOMIC_POSITIONS angstrom
Ca 0.0000 0.0000 0.0000
Ta 2.5190 2.5190 2.6036
As 0.0000 2.5190 2.6036
As 2.5190 0.0000 2.6036
Br 2.5190 2.5190 0.0000

=====

No. 10
! CaTaAs2Br, optimized geometry, DFT PBE-GGA; values from VASP
! ΔE to the lowest computed polymorph (meV/atom): 1263.3
! Uncorrected energy (eV per atom): -4.089
! Total magnetization (Bohr magnetons per cell): 1.33
! E_form (uncorrected) (eV/atom): 0.88
&SYSTEM
  ibrav = 0, nat = 5, ntyp = 4
/
ATOMIC_SPECIES
Ca 40.08 Ca.upf
Ta 180.95 Ta.upf
As 74.92 As.upf
Br 79.90 Br.upf
CELL_PARAMETERS angstrom
5.3959 0.0000 0.0000
0.0000 5.3959 0.0000
0.0000 0.0000 4.6823
ATOMIC_POSITIONS angstrom
Ca 0.0000 0.0000 0.0000
Ta 2.6980 2.6980 0.0000
As 0.0000 2.6980 2.3411
As 2.6980 0.0000 2.3411
Br 2.6980 2.6980 2.3411

=====

No. 11
! CaTaAs2Br, optimized geometry, DFT PBE-GGA; values from VASP
! ΔE to the lowest computed polymorph (meV/atom): 1463.6
! Uncorrected energy (eV per atom): -3.889
! Total magnetization (Bohr magnetons per cell): 1.84
! E_form (uncorrected) (eV/atom): 1.08
&SYSTEM
  ibrav = 0, nat = 5, ntyp = 4
/
ATOMIC_SPECIES
Ca 40.08 Ca.upf
Ta 180.95 Ta.upf
As 74.92 As.upf
Br 79.90 Br.upf
CELL_PARAMETERS angstrom
5.3035 0.0000 0.0000
0.0000 5.3035 0.0000
0.0000 0.0000 5.1605
ATOMIC_POSITIONS angstrom
Ca 0.0000 0.0000 0.0000
Ta 2.6517 2.6517 2.5803
As 0.0000 2.6517 0.0000
As 2.6517 0.0000 0.0000
Br 0.0000 0.0000 2.5803

=====

No. 12
! CaTeAs2Br, optimized geometry, DFT PBE-GGA; values from VASP
! ΔE to the lowest computed polymorph (meV/atom): 0.0
! Uncorrected energy (eV per atom): -3.142
! Total magnetization (Bohr magnetons per cell): 0.00
! E_form (uncorrected) (eV/atom): 0.08
&SYSTEM
  ibrav = 0, nat = 5, ntyp = 4
/
ATOMIC_SPECIES
Ca 40.08 Ca.upf
Te 127.60 Te.upf
As 74.92 As.upf
Br 79.90 Br.upf
CELL_PARAMETERS angstrom
5.3467 0.0000 0.0000
0.0000 5.3467 0.0000
0.0000 0.0000 5.6108
ATOMIC_POSITIONS angstrom
Ca 0.0000 0.0000 0.0000
Te 2.6734 2.6734 2.8054
As 0.0000 2.6734 2.8054
As 2.6734 0.0000 2.8054
Br 2.6734 2.6734 0.0000

=====

No. 13
! CaTeAs2Br, optimized geometry, DFT PBE-GGA; values from VASP
! ΔE to the lowest computed polymorph (meV/atom): 236.0
! Uncorrected energy (eV per atom): -2.906
! Total magnetization (Bohr magnetons per cell): 0.58
! E_form (uncorrected) (eV/atom): 0.32
&SYSTEM
  ibrav = 0, nat = 5, ntyp = 4
/
ATOMIC_SPECIES
Ca 40.08 Ca.upf
Te 127.60 Te.upf
As 74.92 As.upf
Br 79.90 Br.upf
CELL_PARAMETERS angstrom
5.6560 0.0000 0.0000
0.0000 5.6560 0.0000
0.0000 0.0000 5.1846
ATOMIC_POSITIONS angstrom
Ca 0.0000 0.0000 0.0000
Te 2.8280 2.8280 2.5923
As 0.0000 2.8280 0.0000
As 2.8280 0.0000 0.0000
Br 0.0000 0.0000 2.5923

=====

No. 14
! Ca4Te2AsBr, optimized geometry, DFT PBE-GGA; values from VASP
! Uncorrected energy (eV per atom): -4.142
! Total magnetization (Bohr magnetons per cell): 0.00
! E_form (uncorrected) (eV/atom): -1.57
&SYSTEM
  ibrav = 0, nat = 8, ntyp = 4
/
ATOMIC_SPECIES
Ca 40.08 Ca.upf
Te 127.60 Te.upf
As 74.92 As.upf
Br 79.90 Br.upf
CELL_PARAMETERS angstrom
7.6185 0.0000 0.0000
0.0000 4.4303 0.0000
-2.4501 0.0000 7.2188
ATOMIC_POSITIONS angstrom
Ca 1.1692 0.0000 1.6621
Ca -0.1058 2.2152 5.4498
Ca 5.2742 2.2152 1.7690
Ca 3.9993 0.0000 5.5567
Te -1.2251 0.0000 3.6094
Te 2.5842 2.2152 3.6094
As 0.0000 2.2152 0.0000
Br 3.8093 0.0000 0.0000

=====

No. 15
! CaTiAs2Br, optimized geometry, DFT PBE-GGA; values from VASP
! ΔE to the lowest computed polymorph (meV/atom): 1029.4
! Uncorrected energy (eV per atom): -3.828
! Total magnetization (Bohr magnetons per cell): 1.64
! E_form (uncorrected) (eV/atom): 0.35
&SYSTEM
  ibrav = 0, nat = 5, ntyp = 4
/
ATOMIC_SPECIES
Ca 40.08 Ca.upf
Ti 47.87 Ti.upf
As 74.92 As.upf
Br 79.90 Br.upf
CELL_PARAMETERS angstrom
5.4496 0.0000 0.0000
0.0000 5.4496 0.0000
0.0000 0.0000 4.6198
ATOMIC_POSITIONS angstrom
Ca 0.0000 0.0000 0.0000
Ti 2.7248 2.7248 0.0000
As 0.0000 2.7248 2.3099
As 2.7248 0.0000 2.3099
Br 2.7248 2.7248 2.3099

=====

No. 16
! CaTiAs2Br, optimized geometry, DFT PBE-GGA; values from VASP
! ΔE to the lowest computed polymorph (meV/atom): 0.0
! Uncorrected energy (eV per atom): -4.858
! Total magnetization (Bohr magnetons per cell): 0.00
! E_form (uncorrected) (eV/atom): -0.68
&SYSTEM
  ibrav = 0, nat = 5, ntyp = 4
/
ATOMIC_SPECIES
Ca 40.08 Ca.upf
Ti 47.87 Ti.upf
As 74.92 As.upf
Br 79.90 Br.upf
CELL_PARAMETERS angstrom
4.8927 0.0000 0.0000
0.0000 4.8927 0.0000
0.0000 0.0000 5.2972
ATOMIC_POSITIONS angstrom
Ca 0.0000 0.0000 0.0000
Ti 2.4463 2.4463 2.6486
As 0.0000 2.4463 2.6486
As 2.4463 0.0000 2.6486
Br 2.4463 2.4463 0.0000

=====

No. 17
! CaTiAs2Br, optimized geometry, DFT PBE-GGA; values from VASP
! ΔE to the lowest computed polymorph (meV/atom): 1268.7
! Uncorrected energy (eV per atom): -3.589
! Total magnetization (Bohr magnetons per cell): 0.06
! E_form (uncorrected) (eV/atom): 0.58
&SYSTEM
  ibrav = 0, nat = 5, ntyp = 4
/
ATOMIC_SPECIES
Ca 40.08 Ca.upf
Ti 47.87 Ti.upf
As 74.92 As.upf
Br 79.90 Br.upf
CELL_PARAMETERS angstrom
5.3426 0.0000 0.0000
0.0000 5.3426 0.0000
0.0000 0.0000 5.2436
ATOMIC_POSITIONS angstrom
Ca 0.0000 0.0000 0.0000
Ti 2.6713 2.6713 2.6218
As 0.0000 2.6713 0.0000
As 2.6713 0.0000 0.0000
Br 0.0000 0.0000 2.6218

=====

No. 18
! CaTlAs2Br, optimized geometry, DFT PBE-GGA; values from VASP
! ΔE to the lowest computed polymorph (meV/atom): 0.0
! Uncorrected energy (eV per atom): -3.072
! Total magnetization (Bohr magnetons per cell): 2.02
! E_form (uncorrected) (eV/atom): 0.00
&SYSTEM
  ibrav = 0, nat = 5, ntyp = 4
/
ATOMIC_SPECIES
Ca 40.08 Ca.upf
Tl 204.38 Tl.upf
As 74.92 As.upf
Br 79.90 Br.upf
CELL_PARAMETERS angstrom
5.6257 0.0000 0.0000
0.0000 5.6257 0.0000
0.0000 0.0000 5.6580
ATOMIC_POSITIONS angstrom
Ca 0.0000 0.0000 0.0000
Tl 2.8129 2.8129 2.8290
As 0.0000 2.8129 0.0000
As 2.8129 0.0000 0.0000
Br 0.0000 0.0000 2.8290

=====

No. 19
! CaTlAs2Br, optimized geometry, DFT PBE-GGA; values from VASP
! ΔE to the lowest computed polymorph (meV/atom): 73.8
! Uncorrected energy (eV per atom): -2.998
! Total magnetization (Bohr magnetons per cell): 0.00
! E_form (uncorrected) (eV/atom): 0.07
&SYSTEM
  ibrav = 0, nat = 5, ntyp = 4
/
ATOMIC_SPECIES
Ca 40.08 Ca.upf
Tl 204.38 Tl.upf
As 74.92 As.upf
Br 79.90 Br.upf
CELL_PARAMETERS angstrom
5.2461 0.0000 0.0000
0.0000 5.2461 0.0000
0.0000 0.0000 5.9341
ATOMIC_POSITIONS angstrom
Ca 0.0000 0.0000 0.0000
Tl 2.6230 2.6230 2.9671
As 0.0000 2.6230 2.9671
As 2.6230 0.0000 2.9671
Br 2.6230 2.6230 0.0000

=====

No. 20
! Ca2TlAsBr8, optimized geometry, DFT PBE-GGA; values from VASP
! Uncorrected energy (eV per atom): -3.256
! Total magnetization (Bohr magnetons per cell): 0.00
! E_form (uncorrected) (eV/atom): -1.22
&SYSTEM
  ibrav = 0, nat = 12, ntyp = 4
/
ATOMIC_SPECIES
Ca 40.08 Ca.upf
Tl 204.38 Tl.upf
As 74.92 As.upf
Br 79.90 Br.upf
CELL_PARAMETERS angstrom
6.6274 0.0000 0.0000
0.0634 6.9230 0.0000
0.0083 0.0041 9.0271
ATOMIC_POSITIONS angstrom
Ca 0.0665 6.9238 2.2442
Ca 6.6326 0.0033 6.7829
Tl 3.3495 3.4636 4.5135
As 3.3454 3.4615 0.0000
Br 1.5459 0.8563 4.5124
Br 1.7229 1.2118 9.0254
Br 1.7726 4.5378 1.8631
Br 1.7819 4.5453 7.1651
Br 4.9172 2.3818 1.8619
Br 4.9265 2.3893 7.1639
Br 4.9762 5.7153 0.0017
Br 5.1532 6.0708 4.5147